No. 1
BeZn3Pt | PBE | optimized geometry

Properties
Crystal system ... cubic
Formation energy ... 505.1 meV/atom
Theoretical density ... 5.949 g/cm3
ΔE to the lowest computed polymorph ... 14.5 kJ/mol of atoms

Cell: 4.817 4.817 4.817 Å, 90.00 90.00 90.00°
Fractional coordinates of all 5 atoms:
Be  0.000  0.000  0.000
Zn  0.000  0.500  0.500
Zn  0.500  0.000  0.500
Zn  0.500  0.500  0.000
Pt  0.500  0.500  0.500

No. 2
BaCa2LaPd | PBE | optimized geometry

Properties
Crystal system ... tetragonal
Formation energy ... -297.1 meV/atom
Theoretical density ... 3.880 g/cm3
ΔE to the lowest computed polymorph ... 0.0 kJ/mol of atoms

Cell: 5.918 5.918 5.654 Å, 90.00 90.00 90.00°
Fractional coordinates of all 5 atoms:
Ba  0.000  0.000  0.000
Ca  0.000  0.500  0.500
Ca  0.500  0.000  0.500
La  0.500  0.500  0.000
Pd  0.500  0.500  0.500

No. 3
SmDyFe | PBE | optimized geometry

Properties
Crystal system ... orthorhombic
Formation energy ... 75.5 meV/atom
Theoretical density ... 7.982 g/cm3
ΔE to the lowest computed polymorph ... 0.0 kJ/mol of atoms

Cell: 6.937 6.937 7.370 Å, 90.00 90.00 120.11°
Fractional coordinates of all 12 atoms:
Sm  0.198  0.802  0.887
Sm  0.302  0.698  0.387
Sm  0.698  0.302  0.613
Sm  0.802  0.198  0.113
Dy  0.207  0.293  0.750
Dy  0.293  0.207  0.250
Dy  0.707  0.793  0.750
Dy  0.793  0.707  0.250
Fe  0.091  0.909  0.543
Fe  0.409  0.591  0.043
Fe  0.591  0.409  0.957
Fe  0.909  0.091  0.457

No. 4
MgNi2 | PBE | optimized geometry

Properties
Crystal system ... orthorhombic
Formation energy ... -74.6 meV/atom
Theoretical density ... 6.124 g/cm3

Cell: 3.653 11.178 3.763 Å, 90.00 90.00 90.00°
Fractional coordinates of all 12 atoms:
Mg  0.000  0.091  0.250
Mg  0.000  0.909  0.750
Mg  0.500  0.409  0.750
Mg  0.500  0.591  0.250
Ni  0.000  0.250  0.750
Ni  0.000  0.407  0.250
Ni  0.000  0.593  0.750
Ni  0.000  0.750  0.250
Ni  0.500  0.093  0.750
Ni  0.500  0.250  0.250
Ni  0.500  0.750  0.750
Ni  0.500  0.907  0.250

No. 5
DyTl2InF6 | PBE | optimized geometry

Properties
E ... -5.01 eV per atom
Crystal system ... triclinic
Theoretical density ... 6.261 g/cm3

Cell: 6.549 6.551 6.559 Å, 63.00 63.02 62.97°
Fractional coordinates of all 10 atoms:
Dy  0.000  0.000  0.000
Tl  0.240  0.239  0.239
Tl  0.759  0.760  0.761
In  0.500  0.500  0.500
F  0.122  0.808  0.320
F  0.196  0.682  0.875
F  0.319  0.124  0.811
F  0.682  0.875  0.192
F  0.807  0.319  0.124
F  0.876  0.195  0.681

No. 6
Ho2InGaGe | PBE | optimized geometry

Properties
Crystal system ... orthorhombic
Formation energy ... -587.5 meV/atom
Theoretical density ... 8.461 g/cm3

Cell: 4.283 8.790 6.120 Å, 90.00 90.00 90.00°
Fractional coordinates of all 10 atoms:
Ho  0.250  0.038  0.248
Ho  0.250  0.462  0.248
Ho  0.750  0.538  0.752
Ho  0.750  0.962  0.752
In  0.250  0.250  0.737
In  0.750  0.750  0.263
Ga  0.250  0.750  0.545
Ga  0.750  0.250  0.455
Ge  0.250  0.750  0.953
Ge  0.750  0.250  0.047

No. 7
LaZrCo2 | PBE | optimized geometry

Properties
Crystal system ... tetragonal
Formation energy ... 131.9 meV/atom
Theoretical density ... 7.447 g/cm3
ΔE to the lowest computed polymorph ... 23.5 kJ/mol of atoms

Cell: 3.746 3.746 5.529 Å, 90.00 90.00 90.00°
Fractional coordinates of all 4 atoms:
La  0.000  0.000  0.000
Zr  0.500  0.500  0.432
Co  0.000  0.000  0.510
Co  0.500  0.500  0.911

No. 8
UCdPt | PBE | optimized geometry

Properties
Crystal system ... monoclinic
Formation energy ... -298.5 meV/atom
Theoretical density ... 13.654 g/cm3

Cell: 5.802 5.813 8.302 Å, 90.00 108.63 90.00°
Fractional coordinates of all 12 atoms:
U  0.171  0.000  0.361
U  0.329  0.500  0.639
U  0.671  0.500  0.361
U  0.829  0.000  0.639
Cd  0.250  0.250  0.000
Cd  0.250  0.750  0.000
Cd  0.750  0.250  0.000
Cd  0.750  0.750  0.000
Pt  0.129  0.500  0.282
Pt  0.371  0.000  0.718
Pt  0.629  0.000  0.282
Pt  0.871  0.500  0.718

Copy entry 8 word for word.
UCdPt | PBE | optimized geometry

Properties
Crystal system ... monoclinic
Formation energy ... -298.5 meV/atom
Theoretical density ... 13.654 g/cm3

Cell: 5.802 5.813 8.302 Å, 90.00 108.63 90.00°
Fractional coordinates of all 12 atoms:
U  0.171  0.000  0.361
U  0.329  0.500  0.639
U  0.671  0.500  0.361
U  0.829  0.000  0.639
Cd  0.250  0.250  0.000
Cd  0.250  0.750  0.000
Cd  0.750  0.250  0.000
Cd  0.750  0.750  0.000
Pt  0.129  0.500  0.282
Pt  0.371  0.000  0.718
Pt  0.629  0.000  0.282
Pt  0.871  0.500  0.718